[1]
VASP calculation (PBE-GGA) on crystalline LaCrAs at its relaxed geometry.

Cell and atoms, written as POSCAR:
```
LaCrAs
1.0
0.000 3.527 3.527
3.527 0.000 3.527
3.527 3.527 0.000
La Cr As
1 1 1
Cartesian
0.000 0.000 0.000
1.764 1.764 1.764
5.291 5.291 5.291
```

Results
E_form in eV per atom: 0.22

***

[2]
VASP calculation (PBE-GGA) on crystalline LaCrAs2 at its relaxed geometry.

Cell and atoms, written as POSCAR:
```
LaCrAs2
1.0
-2.095 2.095 5.084
2.095 -2.095 5.084
2.095 2.095 -5.084
La Cr As
1 1 2
Cartesian
0.000 0.000 0.000
0.000 2.095 2.542
2.095 0.000 2.542
0.000 0.000 5.084
```

Results
E_form in eV per atom: -0.36

***

[3]
VASP calculation (PBE-GGA) on crystalline LaCrAs2 at its relaxed geometry.

Cell and atoms, written as POSCAR:
```
LaCrAs2
1.0
2.145 -2.781 0.000
2.145 2.781 0.000
0.000 0.000 7.128
La Cr As
1 1 2
Cartesian
0.000 0.000 0.000
0.000 0.000 3.564
2.145 0.000 2.084
2.145 0.000 5.044
```

Results
E_form in eV per atom: -0.43

***

[4]
VASP calculation (PBE-GGA) on crystalline LaCr2As at its relaxed geometry.

Cell and atoms, written as POSCAR:
```
LaCr2As
1.0
-1.777 2.529 4.806
1.777 -2.529 4.806
1.777 2.529 -4.806
La Cr As
1 2 1
Cartesian
0.000 0.000 0.000
1.777 0.000 2.817
0.000 2.529 1.990
0.000 0.000 4.806
```

Results
E_form in eV per atom: 0.24

***

[5]
VASP calculation (PBE-GGA) on crystalline LaCrAs2 at its relaxed geometry.

Cell and atoms, written as POSCAR:
```
LaCrAs2
1.0
4.780 0.000 0.000
0.000 4.780 0.000
0.000 0.000 3.879
La Cr As
1 1 2
Cartesian
0.000 0.000 0.000
2.390 2.390 0.000
0.000 2.390 1.940
2.390 0.000 1.940
```

Results
E_form in eV per atom: -0.40

***

[6]
VASP calculation (PBE-GGA) on crystalline LaCrAs at its relaxed geometry.

Cell and atoms, written as POSCAR:
```
LaCrAs
1.0
-1.756 1.756 5.403
1.756 -1.756 5.403
1.756 1.756 -5.403
La Cr As
1 1 1
Cartesian
0.000 0.000 0.000
0.000 0.000 3.114
0.000 0.000 7.666
```

Results
E_form in eV per atom: -0.22